Compound: TlHgNO
Source: the Open Quantum Materials Database
Functional: PBE
Structure: relaxed

Summary:
**E above lowest polymorph**: 62 kJ/mol of formula units
**Theoretical density**: 12.31 g cm⁻³

Unit cell a=4.8688 b=4.8688 c=4.9497 alpha=90.00 beta=90.00 gamma=90.00
Closest atoms and distances in Å follow each position.
Sites, in units of the cell vectors:
Hg1 0.7500 0.7500 0.0005  4 O 2.43, 2 N 2.47-2.48
Hg2 0.2500 0.2500 0.9995  4 O 2.43, 2 N 2.47-2.48
N1 0.7500 0.7500 0.4993  4 Tl 2.43, 2 Hg 2.47-2.48
N2 0.2500 0.2500 0.5007  4 Tl 2.43, 2 Hg 2.47-2.48
O1 0.7500 0.2500 0.0000  4 Hg 2.43, 2 Tl 2.47
O2 0.2500 0.7500 0.0000  4 Hg 2.43, 2 Tl 2.47
Tl1 0.7500 0.2500 0.5000  4 N 2.43, 2 O 2.47
Tl2 0.2500 0.7500 0.5000  4 N 2.43, 2 O 2.47